1.
The following is a PBE-GGA calculation of an optimized crystal structure of TaCI2O, from the Alexandria database.

Computed properties:
Total energy: -4.460 eV/atom
DOS at the Fermi energy: 2.56 states/eV per cell
Relative energy among the computed polymorphs: 709 meV per atom
Space-group type: No. 123
Formation energy from raw total energies: 1367 meV/atom

Lattice parameters (Å, degrees): 5.245 5.245 3.278 90.00 90.00 90.00
Element x y z (fractional)
I 0.000 0.500 0.000
I 0.500 0.000 0.000
C 0.000 0.000 0.000
O 0.000 0.000 0.500
Ta 0.500 0.500 0.500

---

2.
The following is a PBE-GGA calculation of an optimized crystal structure of HoHfRe4, from the Alexandria database.

Computed properties:
Total energy: -10.969 eV/atom
DOS at the Fermi energy: 8.68 states/eV per cell
Space-group type: No. 216
ΔE_f: -0.25 eV per atom

Lattice parameters (Å, degrees): 5.344 5.344 5.344 60.00 60.00 60.00
Element x y z (fractional)
Re 0.625 0.625 0.124
Re 0.625 0.124 0.625
Re 0.625 0.625 0.625
Re 0.124 0.625 0.625
Hf 0.000 0.000 0.000
Ho 0.250 0.250 0.250

---

3.
The following is a PBE-GGA calculation of an optimized crystal structure of Pr5Sb4P, from the Alexandria database.

Computed properties:
Total energy: -5.806 eV/atom
DOS at the Fermi energy: 1.43 states/eV per cell
Relative energy among the computed polymorphs: 0 meV per atom
Space-group type: No. 87
Formation energy from raw total energies: -1226 meV/atom

Lattice parameters (Å, degrees): 6.365 7.775 7.775 80.36 65.84 65.84
Element x y z (fractional)
Pr 0.904 0.382 0.811
Pr 0.286 0.811 0.618
Pr 0.716 0.189 0.382
Pr 0.098 0.618 0.189
Pr 0.501 0.000 0.000
Sb 0.406 0.397 0.793
Sb 0.803 0.793 0.603
Sb 0.199 0.207 0.397
Sb 0.596 0.603 0.207
P 0.001 0.000 0.000

---

4.
The following is a PBE-GGA calculation of an optimized crystal structure of Dy2Y4Tl3H2, from the Alexandria database.

Computed properties:
Total energy: -4.735 eV/atom
DOS at the Fermi energy: 8.29 states/eV per cell
Space-group type: No. 139

Lattice parameters (Å, degrees): 4.750 4.750 12.696 100.78 100.78 90.00
Element x y z (fractional)
Dy 0.302 0.302 0.604
Dy 0.698 0.698 0.396
Y 0.416 0.916 0.832
Y 0.916 0.416 0.832
Y 0.084 0.584 0.168
Y 0.584 0.084 0.168
Tl 0.000 0.000 0.000
Tl 0.174 0.174 0.348
Tl 0.826 0.826 0.652
H 0.398 0.398 0.795
H 0.602 0.602 0.205

---

- Number 4 is which compound?
  Dy2Y4Tl3H2

---

- Which of these has the lowest DOS at the Fermi energy?
  Pr5Sb4P

---

- What is the formula in the third record?
  Pr5Sb4P